Compound: SrCdSnCl2O2
Source: the Open Quantum Materials Database
Functional: PBE
Structure: relaxed

The structure in extended XYZ format:
```
14
Lattice="12.2430 0.0000 0.0000 0.0000 3.8478 0.0000 -4.1198 0.0000 6.2922" Properties=species:S:1:pos:R:3 pbc="T T T"
Sr 0.0000 0.0000 0.0000
Sr 6.1215 1.9239 0.0000
Cd 2.8890 1.9239 1.7932
Cd 9.0104 0.0000 1.7932
Sn -0.3191 1.9239 3.0813
Sn 5.8024 0.0000 3.0813
Cl -0.6061 0.0000 6.1722
Cl 2.5157 0.0000 3.9523
Cl 5.5154 1.9239 6.1722
Cl 8.6372 1.9239 3.9523
O -1.1465 0.0000 2.2509
O 0.8263 1.9239 1.2750
O 4.9750 1.9239 2.2509
O 6.9478 0.0000 1.2750
```

Calculated values
E_tot in eV/cell: -64.12
Symmetry: Cm, No. 8
Mass density in g/cm3: 4.72



Compound: MgCu5B2
Source: the Open Quantum Materials Database
Functional: PBE
Structure: relaxed

The structure in extended XYZ format:
```
8
Lattice="3.9413 0.0000 0.0000 0.0000 3.9413 0.0000 0.0000 0.0000 5.6426" Properties=species:S:1:pos:R:3 pbc="T T T"
Mg 0.0000 0.0000 0.0000
Cu 0.0000 1.9707 1.4872
Cu 0.0000 1.9707 4.1554
Cu 1.9707 0.0000 1.4872
Cu 1.9707 0.0000 4.1554
Cu 1.9707 1.9707 2.8213
B 0.0000 0.0000 2.8213
B 1.9707 1.9707 0.0000
```

Calculated values
E_tot in eV/cell: -30.03
Symmetry: P4/mmm, No. 123
Mass density in g/cm3: 6.89



Compound: GdCo3
Source: the Open Quantum Materials Database
Functional: PBE
Structure: relaxed

The structure in extended XYZ format:
```
8
Lattice="5.7898 0.0000 0.0000 -2.8949 5.0141 0.0000 0.0000 0.0000 4.2445" Properties=species:S:1:pos:R:3 pbc="T T T"
Gd 0.0000 3.3427 1.0611
Gd 2.8949 1.6714 3.1834
Co 0.0000 1.3539 3.1834
Co -1.7224 4.3372 3.1834
Co 1.1725 0.6769 1.0611
Co 1.7224 4.3372 3.1834
Co 4.6173 0.6769 1.0611
Co 2.8949 3.6603 1.0611
```

Calculated values
E_tot in eV/cell: -50.55
Calculated formation energy in eV per atom: 0.174
M_tot in μB/cell: 0.02
Symmetry: P6_3/mmc, No. 194
Mass density in g/cm3: 9.00



Compound: TaZnCoSb
Source: the Open Quantum Materials Database
Functional: PBE
Structure: relaxed

The structure in extended XYZ format:
```
16
Lattice="6.3948 0.0000 0.0000 0.0000 6.3948 0.0000 0.0000 0.0000 6.3948" Properties=species:S:1:pos:R:3 pbc="T T T"
Ta 0.0000 0.0000 0.0000
Ta 0.0000 3.1974 3.1974
Ta 3.1974 0.0000 3.1974
Ta 3.1974 3.1974 0.0000
Zn 1.5987 1.5987 1.5987
Zn 1.5987 4.7961 4.7961
Zn 4.7961 1.5987 4.7961
Zn 4.7961 4.7961 1.5987
Co 1.5987 1.5987 4.7961
Co 1.5987 4.7961 1.5987
Co 4.7961 1.5987 1.5987
Co 4.7961 4.7961 4.7961
Sb 0.0000 0.0000 3.1974
Sb 0.0000 3.1974 0.0000
Sb 3.1974 0.0000 0.0000
Sb 3.1974 3.1974 3.1974
```

Calculated values
E_tot in eV/cell: -91.28
M_tot in μB/cell: 3.13
Symmetry: F-43m, No. 216
Mass density in g/cm3: 10.85



Compound: Tm3Cd3InAu2
Source: the Open Quantum Materials Database
Functional: PBE
Structure: relaxed

The structure in extended XYZ format:
```
9
Lattice="7.9608 0.0000 0.0000 -3.9804 6.8942 0.0000 0.0000 0.0000 3.7229" Properties=species:S:1:pos:R:3 pbc="T T T"
Tm -2.3716 4.1077 0.0000
Tm 1.6088 2.7866 0.0000
Tm 4.7431 0.0000 0.0000
Cd -1.1084 1.9198 1.8614
Cd 2.2168 0.0000 1.8614
Cd 2.8720 4.9745 1.8614
In 0.0000 0.0000 0.0000
Au 0.0000 4.5962 1.8614
Au 3.9804 2.2981 1.8614
```

Calculated values
E_tot in eV/cell: -30.49
M_tot in μB/cell: 0.00
Symmetry: P-62m, No. 189
Mass density in g/cm3: 10.99



Compound: Hf2Cu2Pb
Source: the Open Quantum Materials Database
Functional: PBE
Structure: relaxed

The structure in extended XYZ format:
```
10
Lattice="4.3020 0.0000 0.0000 0.0000 4.3020 0.0000 0.0000 0.0000 10.8862" Properties=species:S:1:pos:R:3 pbc="T T T"
Hf 0.0000 2.1510 2.7215
Hf 0.0000 2.1510 8.1646
Hf 2.1510 0.0000 2.7215
Hf 2.1510 0.0000 8.1646
Cu 0.0000 0.0000 1.1355
Cu 0.0000 0.0000 9.7507
Cu 2.1510 2.1510 4.3076
Cu 2.1510 2.1510 6.5785
Pb 0.0000 0.0000 5.4431
Pb 2.1510 2.1510 0.0000
```

Calculated values
E_tot in eV/cell: -60.47
M_tot in μB/cell: 0.01
Symmetry: I4/mmm, No. 139
Mass density in g/cm3: 11.39



Compound: Na2ZnIn
Source: the Open Quantum Materials Database
Functional: PBE
Structure: relaxed

The structure in extended XYZ format:
```
8
Lattice="5.1076 0.0000 0.0000 0.0000 5.0557 0.0000 0.0000 0.0000 7.2450" Properties=species:S:1:pos:R:3 pbc="T T T"
Na 1.2769 0.0000 0.8140
Na 1.2769 2.5278 2.6255
Na 3.8307 0.0000 6.4310
Na 3.8307 2.5278 4.6195
Zn 1.2769 2.5278 6.3782
Zn 3.8307 2.5278 0.8668
In 1.2769 0.0000 4.5971
In 3.8307 0.0000 2.6479
```

Calculated values
E_tot in eV/cell: -13.62
Symmetry: Pmma, No. 51
Mass density in g/cm3: 4.02



Compound: GdNbNO
Source: the Open Quantum Materials Database
Functional: PBE
Structure: relaxed

The structure in extended XYZ format:
```
8
Lattice="3.3329 0.0000 0.0000 0.0000 6.1641 0.0000 0.0000 0.0000 6.1442" Properties=species:S:1:pos:R:3 pbc="T T T"
Gd 0.0000 1.0973 0.0000
Gd 0.0000 5.0668 3.0721
Nb 1.6665 2.0918 3.1868
Nb 1.6665 4.0723 0.1147
N 1.6665 2.4037 5.1184
N 1.6665 3.7603 2.0463
O 0.0000 0.9807 2.2073
O 0.0000 5.1833 5.2794
```

Calculated values
E_tot in eV/cell: -67.69
M_tot in μB/cell: 0.03
Symmetry: Pmc2_1, No. 26
Mass density in g/cm3: 7.37



Compound: Rb2CdHgBr6
Source: the Open Quantum Materials Database
Functional: PBE
Structure: relaxed

The structure in extended XYZ format:
```
10
Lattice="0.0000 5.5997 5.5997 5.5997 0.0000 5.5997 5.5997 5.5997 0.0000" Properties=species:S:1:pos:R:3 pbc="T T T"
Rb 2.7998 2.7998 2.7998
Rb 8.3995 8.3995 8.3995
Cd 0.0000 0.0000 0.0000
Hg 5.5997 5.5997 5.5997
Br 5.5997 5.5997 2.7792
Br 5.5997 2.7792 5.5997
Br 8.4202 5.5997 5.5997
Br 2.7792 5.5997 5.5997
Br 5.5997 8.4202 5.5997
Br 5.5997 5.5997 8.4202
```

Calculated values
E_tot in eV/cell: -23.70
Symmetry: Fm-3m, No. 225
Mass density in g/cm3: 4.56



Compound: TaBeCdCo
Source: the Open Quantum Materials Database
Functional: PBE
Structure: relaxed

The structure in extended XYZ format:
```
16
Lattice="6.0518 0.0000 0.0000 0.0000 6.0518 0.0000 0.0000 0.0000 6.0518" Properties=species:S:1:pos:R:3 pbc="T T T"
Ta 0.0000 0.0000 0.0000
Ta 0.0000 3.0259 3.0259
Ta 3.0259 0.0000 3.0259
Ta 3.0259 3.0259 0.0000
Be 1.5130 1.5130 4.5389
Be 1.5130 4.5389 1.5130
Be 4.5389 1.5130 1.5130
Be 4.5389 4.5389 4.5389
Cd 0.0000 0.0000 3.0259
Cd 0.0000 3.0259 0.0000
Cd 3.0259 0.0000 0.0000
Cd 3.0259 3.0259 3.0259
Co 1.5130 1.5130 1.5130
Co 1.5130 4.5389 4.5389
Co 4.5389 1.5130 4.5389
Co 4.5389 4.5389 1.5130
```

Calculated values
E_tot in eV/cell: -92.34
M_tot in μB/cell: 0.00
Symmetry: F-43m, No. 216
Mass density in g/cm3: 10.83



Compound: ScNiBiOs
Source: the Open Quantum Materials Database
Functional: PBE
Structure: relaxed

The structure in extended XYZ format:
```
16
Lattice="6.5545 0.0000 0.0000 0.0000 6.5545 0.0000 0.0000 0.0000 6.5545" Properties=species:S:1:pos:R:3 pbc="T T T"
Sc 0.0000 0.0000 0.0000
Sc 0.0000 3.2773 3.2773
Sc 3.2773 0.0000 3.2773
Sc 3.2773 3.2773 0.0000
Ni 0.0000 0.0000 3.2773
Ni 0.0000 3.2773 0.0000
Ni 3.2773 0.0000 0.0000
Ni 3.2773 3.2773 3.2773
Bi 1.6386 1.6386 1.6386
Bi 1.6386 4.9159 4.9159
Bi 4.9159 1.6386 4.9159
Bi 4.9159 4.9159 1.6386
Os 1.6386 1.6386 4.9159
Os 1.6386 4.9159 1.6386
Os 4.9159 1.6386 1.6386
Os 4.9159 4.9159 4.9159
```

Calculated values
E_tot in eV/cell: -103.03
M_tot in μB/cell: 1.60
Symmetry: F-43m, No. 216
Mass density in g/cm3: 11.86



Which of these has the lowest mass density?
Na2ZnIn